Record 1
Entry from the Alexandria database: a geometry-optimized SrDy4Au5 structure (PBE).

Cell: 3.620 3.620 18.495 Å, 90.00 90.00 90.00°
Element x y z (fractional)
1 Sr 0.000 0.000 0.000
2 Dy 0.000 0.000 0.206
3 Dy 0.000 0.000 0.403
4 Dy 0.000 0.000 0.597
5 Dy 0.000 0.000 0.794
6 Au 0.500 0.500 0.120
7 Au 0.500 0.500 0.305
8 Au 0.500 0.500 0.500
9 Au 0.500 0.500 0.695
10 Au 0.500 0.500 0.880

ΔH_f (0 K) = -836 meV per atom
Fermi-level density of states = 0.5263 states/eV/atom
crystal system = tetragonal

Record 2
Entry from the Alexandria database: a geometry-optimized CaCd12Pt6 structure (PBE).

Cell: 7.854 7.854 7.854 Å, 105.88 105.88 105.88°
Element x y z (fractional)
1 Ca 0.000 0.000 0.000
2 Cd 0.116 0.500 0.884
3 Cd 0.116 0.884 0.500
4 Cd 0.139 0.394 0.394
5 Cd 0.394 0.139 0.394
6 Cd 0.394 0.394 0.139
7 Cd 0.500 0.116 0.884
8 Cd 0.500 0.884 0.116
9 Cd 0.606 0.606 0.861
10 Cd 0.606 0.861 0.606
11 Cd 0.861 0.606 0.606
12 Cd 0.884 0.116 0.500
13 Cd 0.884 0.500 0.116
14 Pt 0.279 0.279 0.700
15 Pt 0.279 0.700 0.279
16 Pt 0.300 0.721 0.721
17 Pt 0.700 0.279 0.279
18 Pt 0.721 0.300 0.721
19 Pt 0.721 0.721 0.300

ΔH_f (0 K) = -215 meV per atom
Fermi-level density of states = 0.5008 states/eV/atom
crystal system = trigonal

Record 3
Entry from the Alexandria database: a geometry-optimized Nd2Tm7Th structure (PBE).

Cell: 14.639 14.639 3.464 Å, 90.00 90.00 154.39°
Element x y z (fractional)
1 Nd 0.207 0.793 0.000
2 Nd 0.793 0.207 0.000
3 Tm 0.000 0.000 0.000
4 Tm 0.158 0.352 0.000
5 Tm 0.315 0.685 0.500
6 Tm 0.352 0.158 0.000
7 Tm 0.648 0.842 0.000
8 Tm 0.685 0.315 0.500
9 Tm 0.842 0.648 0.000
10 Th 0.500 0.500 0.500

ΔH_f (0 K) = 163 meV per atom
Fermi-level density of states = 1.6347 states/eV/atom
crystal system = orthorhombic

Record 4
Entry from the Alexandria database: a geometry-optimized CsHgI2O structure (PBE).

Cell: 6.694 6.694 4.099 Å, 90.00 90.00 90.00°
Element x y z (fractional)
1 Cs 0.000 0.000 0.000
2 Hg 0.500 0.500 0.500
3 I 0.000 0.500 0.500
4 I 0.500 0.000 0.500
5 O 0.500 0.500 0.000

E above lowest polymorph = 0.0000 eV/atom
formation energy without anion corrections = -471 meV per atom
Fermi-level density of states = 1.3422 states/eV/atom
crystal system = tetragonal

Record 5
Entry from the Alexandria database: a geometry-optimized CsErPb structure (PBE).

Cell: 15.176 15.176 15.176 Å, 163.71 163.71 23.11°
Element x y z (fractional)
1 Cs 0.086 0.086 0.000
2 Cs 0.914 0.914 0.000
3 Er 0.214 0.214 0.000
4 Er 0.786 0.786 0.000
5 Pb 0.321 0.321 0.000
6 Pb 0.679 0.679 0.000

ΔH_f (0 K) = -231 meV per atom
Fermi-level density of states = 0.8475 states/eV/atom
crystal system = tetragonal

Record 6
Entry from the Alexandria database: a geometry-optimized Pm3TmTc structure (PBE).

Cell: 6.426 6.426 13.165 Å, 111.57 111.57 35.81°
Element x y z (fractional)
1 Pm 0.000 0.000 0.000
2 Pm 0.012 0.012 0.375
3 Pm 0.226 0.226 0.857
4 Pm 0.330 0.330 0.138
5 Pm 0.664 0.664 0.250
6 Pm 0.690 0.690 0.614
7 Tm 0.349 0.349 0.485
8 Tm 0.473 0.473 0.755
9 Tc 0.018 0.018 0.610
10 Tc 0.661 0.661 0.992

ΔH_f (0 K) = -9 meV per atom
Fermi-level density of states = 0.9717 states/eV/atom
crystal system = monoclinic

Record 7
Entry from the Alexandria database: a geometry-optimized YSc2Ti structure (PBE).

Cell: 6.998 6.998 6.998 Å, 120.57 120.57 89.01°
Element x y z (fractional)
1 Y 0.375 0.625 0.750
2 Y 0.625 0.375 0.250
3 Sc 0.000 0.000 0.000
4 Sc 0.000 0.000 0.500
5 Sc 0.000 0.500 0.000
6 Sc 0.500 0.000 0.500
7 Ti 0.125 0.875 0.250
8 Ti 0.875 0.125 0.750

ΔH_f (0 K) = 1395 meV per atom
E above lowest polymorph = 1.2580 eV/atom
Fermi-level density of states = 1.8108 states/eV/atom
crystal system = tetragonal

Record 8
Entry from the Alexandria database: a geometry-optimized Ba6TlIn3 structure (PBE).

Cell: 10.678 6.065 13.822 Å, 90.00 110.46 90.00°
Element x y z (fractional)
1 Ba 0.026 0.250 0.418
2 Ba 0.161 0.750 0.163
3 Ba 0.242 0.250 0.995
4 Ba 0.336 0.750 0.821
5 Ba 0.374 0.250 0.352
6 Ba 0.376 0.250 0.635
7 Ba 0.624 0.750 0.365
8 Ba 0.626 0.750 0.648
9 Ba 0.664 0.250 0.179
10 Ba 0.758 0.750 0.005
11 Ba 0.839 0.250 0.837
12 Ba 0.974 0.750 0.582
13 Tl 0.458 0.750 0.099
14 Tl 0.542 0.250 0.901
15 In 0.018 0.750 0.861
16 In 0.081 0.250 0.716
17 In 0.263 0.750 0.466
18 In 0.737 0.250 0.534
19 In 0.919 0.750 0.284
20 In 0.982 0.250 0.139

ΔH_f (0 K) = -326 meV per atom
E above lowest polymorph = 0.0000 eV/atom
Fermi-level density of states = 0.8319 states/eV/atom
crystal system = monoclinic

Record 9
Entry from the Alexandria database: a geometry-optimized TePtPbI2 structure (PBE).

Cell: 6.021 6.021 6.046 Å, 90.00 90.00 90.00°
Element x y z (fractional)
1 Te 0.000 0.000 0.000
2 Pt 0.500 0.500 0.000
3 Pb 0.000 0.000 0.500
4 I 0.000 0.500 0.500
5 I 0.500 0.000 0.500

E above lowest polymorph = 0.9433 eV/atom
formation energy without anion corrections = 952 meV per atom
Fermi-level density of states = 1.4536 states/eV/atom
crystal system = tetragonal

Record 10
Entry from the Alexandria database: a geometry-optimized Cr3Co structure (PBE).

Cell: 2.498 2.498 8.456 Å, 90.00 90.00 120.00°
Element x y z (fractional)
1 Cr 0.000 0.000 0.000
2 Cr 0.333 0.667 0.261
3 Cr 0.333 0.667 0.739
4 Co 0.000 0.000 0.500

ΔH_f (0 K) = 239 meV per atom
Fermi-level density of states = 1.5222 states/eV/atom
crystal system = hexagonal

Record 11
Entry from the Alexandria database: a geometry-optimized KMg2In3 structure (PBE).

Cell: 7.789 7.789 6.026 Å, 90.00 90.00 78.38°
Element x y z (fractional)
1 K 0.170 0.830 0.750
2 K 0.830 0.170 0.250
3 Mg 0.282 0.282 0.000
4 Mg 0.282 0.282 0.500
5 Mg 0.718 0.718 0.000
6 Mg 0.718 0.718 0.500
7 In 0.043 0.583 0.250
8 In 0.417 0.957 0.250
9 In 0.437 0.563 0.250
10 In 0.563 0.437 0.750
11 In 0.583 0.043 0.750
12 In 0.957 0.417 0.750

ΔH_f (0 K) = -94 meV per atom
Fermi-level density of states = 0.3236 states/eV/atom
crystal system = orthorhombic

Record 12
Entry from the Alexandria database: a geometry-optimized Li4Hg3Au2 structure (PBE).

Cell: 4.649 4.649 8.704 Å, 92.90 92.90 57.67°
Element x y z (fractional)
1 Li 0.004 0.004 0.318
2 Li 0.334 0.334 0.103
3 Li 0.666 0.666 0.897
4 Li 0.996 0.996 0.682
5 Hg 0.000 0.000 0.000
6 Hg 0.334 0.334 0.420
7 Hg 0.666 0.666 0.580
8 Au 0.330 0.330 0.788
9 Au 0.670 0.670 0.212

ΔH_f (0 K) = -383 meV per atom
Fermi-level density of states = 0.3491 states/eV/atom
crystal system = monoclinic